No. 1
Below is a relaxed structure of CoHgW, with properties calculated at the PBE level.

Properties
polymorph energy (0 for the lowest one): 0 meV per atom
D(E_F): 5.22 states/eV/cell
density: 15.10 Mg/m³
E_form: 24.4 kJ per mole of atoms

abc: 2.8386 2.8303 12.1757
angles: 90.00 94.32 90.00
Space group P2_1/m (No. 11)
Asymmetric unit:
Co: 0.1762 0.2500 0.2811 [2 per cell]
Hg: 0.3828 0.2500 0.8821 [2 per cell]
W: 0.2807 0.2500 0.5888 [2 per cell]


No. 2
Below is a relaxed structure of CoHg2W, with properties calculated at the PBE level.

Properties
polymorph energy (0 for the lowest one): 587 meV per atom
D(E_F): 17.40 states/eV/cell
density: 15.67 Mg/m³
E_form: 95.7 kJ per mole of atoms

abc: 6.4867 6.4867 6.4867
angles: 90.00 90.00 90.00
Space group Fm-3m (No. 225)
Asymmetric unit:
Co: 0.0000 0.0000 0.0000 [4 per cell]
Hg: 0.2500 0.2500 0.2500 [8 per cell]
W: 0.0000 0.0000 0.5000 [4 per cell]


No. 3
Below is a relaxed structure of CoHg2W, with properties calculated at the PBE level.

Properties
polymorph energy (0 for the lowest one): 284 meV per atom
D(E_F): 6.18 states/eV/cell
density: 15.06 Mg/m³
E_form: 66.4 kJ per mole of atoms

abc: 2.8046 4.8642 10.4067
angles: 90.00 90.00 90.00
Space group Imm2 (No. 44)
Asymmetric unit:
Co: 0.0000 0.0000 0.0000 [2 per cell]
Hg: 0.0000 0.0000 0.4630 [2 per cell]
Hg: 0.0000 0.5000 0.2535 [2 per cell]
W: 0.0000 0.5000 0.6901 [2 per cell]


No. 4
Below is a relaxed structure of CoHgW2, with properties calculated at the PBE level.

Properties
D(E_F): 3.51 states/eV/cell
density: 16.22 Mg/m³
E_form: 54.1 kJ per mole of atoms

abc: 2.7862 3.6885 6.2487
angles: 90.00 90.00 90.00
Space group Pmmm (No. 47)
Asymmetric unit:
Co: 0.0000 0.0000 0.0000 [1 per cell]
Hg: 0.0000 0.0000 0.5000 [1 per cell]
W: 0.5000 0.5000 0.2022 [2 per cell]


No. 5
Below is a relaxed structure of CoHg2W, with properties calculated at the PBE level.

Properties
polymorph energy (0 for the lowest one): 560 meV per atom
D(E_F): 12.08 states/eV/cell
density: 15.66 Mg/m³
E_form: 93.1 kJ per mole of atoms

abc: 6.4884 6.4884 6.4884
angles: 90.00 90.00 90.00
Space group F-43m (No. 216)
Asymmetric unit:
Co: 0.0000 0.0000 0.0000 [4 per cell]
Hg: 0.0000 0.0000 0.5000 [4 per cell]
Hg: 0.2500 0.2500 0.7500 [4 per cell]
W: 0.2500 0.2500 0.2500 [4 per cell]


No. 6
Below is a relaxed structure of CoHg2W, with properties calculated at the PBE level.

Properties
polymorph energy (0 for the lowest one): 513 meV per atom
D(E_F): 7.34 states/eV/cell
density: 15.49 Mg/m³
E_form: 88.5 kJ per mole of atoms

abc: 4.0583 4.0583 8.3819
angles: 90.00 90.00 90.00
Space group I4/mmm (No. 139)
Asymmetric unit:
Co: 0.0000 0.0000 0.0000 [2 per cell]
Hg: 0.0000 0.5000 0.2500 [4 per cell]
W: 0.0000 0.0000 0.5000 [2 per cell]


No. 7
Below is a relaxed structure of CoHg2W, with properties calculated at the PBE level.

Properties
polymorph energy (0 for the lowest one): 344 meV per atom
D(E_F): 4.81 states/eV/cell
density: 15.67 Mg/m³
E_form: 72.2 kJ per mole of atoms

abc: 2.8460 2.8460 8.4266
angles: 90.00 90.00 90.00
Space group P4/mmm (No. 123)
Asymmetric unit:
Co: 0.0000 0.0000 0.0000 [1 per cell]
Hg: 0.5000 0.5000 0.2319 [2 per cell]
W: 0.0000 0.0000 0.5000 [1 per cell]


No. 8
Below is a relaxed structure of ZnCoHg2W, with properties calculated at the PBE level.

Properties
D(E_F): 8.19 states/eV/cell
density: 10.78 Mg/m³
E_form: 162.0 kJ per mole of atoms

abc: 4.7560 4.7560 4.8324
angles: 90.00 90.00 90.00
Space group P4/mmm (No. 123)
Asymmetric unit:
Zn: 0.0000 0.0000 0.0000 [1 per cell]
Co: 0.5000 0.5000 0.5000 [1 per cell]
Hg: 0.0000 0.5000 0.0000 [2 per cell]
W: 0.0000 0.0000 0.5000 [1 per cell]


No. 9
Below is a relaxed structure of Y2CoHg, with properties calculated at the PBE level.

Properties
D(E_F): 22.06 states/eV/cell
density: 8.70 Mg/m³
E_form: 5.8 kJ per mole of atoms

abc: 6.9387 6.9387 6.9387
angles: 90.00 90.00 90.00
Space group F-43m (No. 216)
Asymmetric unit:
Y: 0.0000 0.0000 0.0000 [4 per cell]
Y: 0.2500 0.2500 0.2500 [4 per cell]
Co: 0.2500 0.2500 0.7500 [4 per cell]
Hg: 0.0000 0.0000 0.5000 [4 per cell]


No. 10
Below is a relaxed structure of YCoHg2, with properties calculated at the PBE level.

Properties
D(E_F): 2.66 states/eV/cell
density: 10.50 Mg/m³
E_form: -5.6 kJ per mole of atoms

abc: 3.7631 3.8952 6.2131
angles: 90.00 107.50 90.00
Space group Pm (No. 6)
Asymmetric unit:
Y: 0.0000 0.0000 0.0000 [1 per cell]
Co: 0.5698 0.5000 0.1407 [1 per cell]
Hg: 0.3448 0.5000 0.6883 [1 per cell]
Hg: 0.7212 0.0000 0.4418 [1 per cell]


No. 11
Below is a relaxed structure of YCo2Hg, with properties calculated at the PBE level.

Properties
D(E_F): 5.32 states/eV/cell
density: 9.49 Mg/m³
E_form: 17.6 kJ per mole of atoms

abc: 3.4361 3.4361 6.0365
angles: 90.00 90.00 90.00
Space group P4/mmm (No. 123)
Asymmetric unit:
Y: 0.0000 0.0000 0.0000 [1 per cell]
Co: 0.5000 0.5000 0.2898 [2 per cell]
Hg: 0.0000 0.0000 0.5000 [1 per cell]


No. 12
Below is a relaxed structure of Y5CoHg2, with properties calculated at the PBE level.

Properties
D(E_F): 13.24 states/eV/cell
density: 7.13 Mg/m³
E_form: -31.8 kJ per mole of atoms

abc: 7.5260 11.6095 4.8200
angles: 90.00 90.00 90.00
Space group Pbam (No. 55)
Asymmetric unit:
Y: 0.0000 0.0000 0.0000 [2 per cell]
Y: 0.1382 0.3018 0.0000 [4 per cell]
Y: 0.1785 0.5793 0.5000 [4 per cell]
Co: 0.0000 0.5000 0.0000 [2 per cell]
Hg: 0.0755 0.8383 0.5000 [4 per cell]